# 1
Density functional theory data (PBE) for a relaxed HoPuCd17 crystal.

```
data_HoPuCd17
_cell_length_a 10.0490
_cell_length_b 10.0490
_cell_length_c 15.1254
_cell_angle_alpha 90.00
_cell_angle_beta 90.00
_cell_angle_gamma 120.00
_space_group_name_H-M_alt 'R 3 m'
_space_group_IT_number 160
_space_group_name_Hall 'R 3 -2"'
loop_
_atom_site_label
_atom_site_type_symbol
_atom_site_fract_x
_atom_site_fract_y
_atom_site_fract_z
Ho1 Ho 0.0000 0.0000 0.0000
Pu1 Pu 0.0000 0.0000 0.3432
Cd1 Cd 0.0000 0.0000 0.5860
Cd2 Cd 0.0000 0.0000 0.7799
Cd3 Cd 0.0026 0.3053 0.6753
Cd4 Cd 0.0219 0.5110 0.5321
Cd5 Cd 0.0352 0.5176 0.1681
Cd6 Cd 0.0612 0.5306 0.8272
```

- Magnetization: 17.59 Bohr magnetons per cell


# 2
Density functional theory data (PBE) for a relaxed AlNiHg2 crystal.

```
data_AlNiHg2
_cell_length_a 4.173
_cell_length_b 4.173
_cell_length_c 8.038
_cell_angle_alpha 90.00
_cell_angle_beta 90.00
_cell_angle_gamma 90.00
_space_group_name_H-M_alt 'I 4/m m m'
_space_group_IT_number 139
_space_group_name_Hall '-I 4 2'
loop_
_atom_site_label
_atom_site_type_symbol
_atom_site_fract_x
_atom_site_fract_y
_atom_site_fract_z
Al1 Al 0.000 0.000 0.000
Ni1 Ni 0.000 0.000 0.500
Hg1 Hg 0.000 0.500 0.250
```

- Magnetization: 0.00 Bohr magnetons per cell


# 3
Density functional theory data (PBE) for a relaxed Pr6Hg2Ru crystal.

```
data_Pr6Hg2Ru
_cell_length_a 3.929
_cell_length_b 15.748
_cell_length_c 8.706
_cell_angle_alpha 90.00
_cell_angle_beta 90.00
_cell_angle_gamma 90.00
_space_group_name_H-M_alt 'A m m 2'
_space_group_IT_number 38
_space_group_name_Hall 'A 2 -2'
loop_
_atom_site_label
_atom_site_type_symbol
_atom_site_fract_x
_atom_site_fract_y
_atom_site_fract_z
Pr1 Pr 0.000 0.000 0.000
Pr2 Pr 0.000 0.126 0.662
Pr3 Pr 0.500 0.000 0.372
Pr4 Pr 0.500 0.199 0.986
Hg1 Hg 0.000 0.164 0.285
Ru1 Ru 0.500 0.000 0.731
```

- Distance to the lowest polymorph of the same formula: 0 meV/atom
- Magnetization: 0.00 Bohr magnetons per cell


| no. | energy relative to the elements (kJ/mol of formula units) |
| --- | --- |
| 1 | -114 |
| 2 | 78 |
| 3 | -249 |